1.
# Pm5Cu5Ir2 (PBE, relaxed)
data_Pm5Cu5Ir2
_chemical_formula_sum 'Pm5 Cu5 Ir2'
_symmetry_space_group_name_H-M 'P 1'
_symmetry_Int_Tables_number 1
_symmetry_space_group_name_Hall 'P 1'
_cell_length_a 7.771
_cell_length_b 7.771
_cell_length_c 11.114
_cell_angle_alpha 129.43
_cell_angle_beta 129.43
_cell_angle_gamma 31.54
loop_
_atom_site_label
_atom_site_fract_x
_atom_site_fract_y
_atom_site_fract_z
Pm1 0.000 0.000 0.000
Pm2 0.115 0.115 0.420
Pm3 0.204 0.204 0.827
Pm4 0.796 0.796 0.173
Pm5 0.885 0.885 0.580
Cu1 0.272 0.272 0.331
Cu2 0.438 0.438 0.162
Cu3 0.500 0.500 0.500
Cu4 0.562 0.562 0.838
Cu5 0.728 0.728 0.669
Ir1 0.353 0.353 0.742
Ir2 0.647 0.647 0.258
# * formation enthalpy at 0 K: -0.32 eV per atom
# * crystal system: monoclinic



2.
# Pm2CuIr (PBE, relaxed)
data_Pm2CuIr
_chemical_formula_sum 'Pm2 Cu1 Ir1'
_symmetry_space_group_name_H-M 'P 1'
_symmetry_Int_Tables_number 1
_symmetry_space_group_name_Hall 'P 1'
_cell_length_a 4.961
_cell_length_b 4.961
_cell_length_c 3.595
_cell_angle_alpha 90.00
_cell_angle_beta 90.00
_cell_angle_gamma 90.00
loop_
_atom_site_label
_atom_site_fract_x
_atom_site_fract_y
_atom_site_fract_z
Pm1 0.000 0.500 0.000
Pm2 0.500 0.000 0.000
Cu1 0.000 0.000 0.500
Ir1 0.500 0.500 0.500
# * energy above the lowest structure with this stoichiometry: 0.102 eV/atom
# * formation enthalpy at 0 K: -0.43 eV per atom
# * crystal system: tetragonal



3.
# PmPrCuIr (PBE, relaxed)
data_PmPrCuIr
_chemical_formula_sum 'Pm1 Pr1 Cu1 Ir1'
_symmetry_space_group_name_H-M 'P 1'
_symmetry_Int_Tables_number 1
_symmetry_space_group_name_Hall 'P 1'
_cell_length_a 4.414
_cell_length_b 5.730
_cell_length_c 5.730
_cell_angle_alpha 40.75
_cell_angle_beta 90.00
_cell_angle_gamma 90.00
loop_
_atom_site_label
_atom_site_fract_x
_atom_site_fract_y
_atom_site_fract_z
Pm1 0.000 0.000 0.000
Pr1 0.500 0.277 0.277
Cu1 0.000 0.708 0.708
Ir1 0.500 0.560 0.560
# * energy above the lowest structure with this stoichiometry: 0.000 eV/atom
# * formation enthalpy at 0 K: -0.46 eV per atom
# * crystal system: orthorhombic



4.
# PmPrCuIr (PBE, relaxed)
data_PmPrCuIr
_chemical_formula_sum 'Pm1 Pr1 Cu1 Ir1'
_symmetry_space_group_name_H-M 'P 1'
_symmetry_Int_Tables_number 1
_symmetry_space_group_name_Hall 'P 1'
_cell_length_a 5.044
_cell_length_b 5.044
_cell_length_c 5.044
_cell_angle_alpha 60.00
_cell_angle_beta 60.00
_cell_angle_gamma 60.00
loop_
_atom_site_label
_atom_site_fract_x
_atom_site_fract_y
_atom_site_fract_z
Pm1 0.000 0.000 0.000
Pr1 0.500 0.500 0.500
Cu1 0.250 0.250 0.250
Ir1 0.750 0.750 0.750
# * energy above the lowest structure with this stoichiometry: 0.051 eV/atom
# * formation enthalpy at 0 K: -0.41 eV per atom
# * crystal system: cubic



5.
# PmCuSbIr (PBE, relaxed)
data_PmCuSbIr
_chemical_formula_sum 'Pm1 Cu1 Sb1 Ir1'
_symmetry_space_group_name_H-M 'P 1'
_symmetry_Int_Tables_number 1
_symmetry_space_group_name_Hall 'P 1'
_cell_length_a 4.808
_cell_length_b 4.808
_cell_length_c 4.808
_cell_angle_alpha 60.00
_cell_angle_beta 60.00
_cell_angle_gamma 60.00
loop_
_atom_site_label
_atom_site_fract_x
_atom_site_fract_y
_atom_site_fract_z
Pm1 0.000 0.000 0.000
Cu1 0.750 0.750 0.750
Sb1 0.500 0.500 0.500
Ir1 0.250 0.250 0.250
# * crystal system: cubic



6.
# PmScCuIr (PBE, relaxed)
data_PmScCuIr
_chemical_formula_sum 'Pm1 Sc1 Cu1 Ir1'
_symmetry_space_group_name_H-M 'P 1'
_symmetry_Int_Tables_number 1
_symmetry_space_group_name_Hall 'P 1'
_cell_length_a 4.814
_cell_length_b 4.814
_cell_length_c 4.814
_cell_angle_alpha 60.00
_cell_angle_beta 60.00
_cell_angle_gamma 60.00
loop_
_atom_site_label
_atom_site_fract_x
_atom_site_fract_y
_atom_site_fract_z
Pm1 0.000 0.000 0.000
Sc1 0.500 0.500 0.500
Cu1 0.250 0.250 0.250
Ir1 0.750 0.750 0.750
# * formation enthalpy at 0 K: -0.50 eV per atom
# * crystal system: cubic



7.
# Pm2CuSi4Ir3 (PBE, relaxed)
data_Pm2CuSi4Ir3
_chemical_formula_sum 'Pm2 Cu1 Si4 Ir3'
_symmetry_space_group_name_H-M 'P 1'
_symmetry_Int_Tables_number 1
_symmetry_space_group_name_Hall 'P 1'
_cell_length_a 4.186
_cell_length_b 4.186
_cell_length_c 9.867
_cell_angle_alpha 90.00
_cell_angle_beta 90.00
_cell_angle_gamma 90.00
loop_
_atom_site_label
_atom_site_fract_x
_atom_site_fract_y
_atom_site_fract_z
Pm1 0.000 0.500 0.245
Pm2 0.500 0.000 0.755
Cu1 0.000 0.000 0.500
Si1 0.000 0.000 0.000
Si2 0.000 0.500 0.631
Si3 0.500 0.000 0.369
Si4 0.500 0.500 0.000
Ir1 0.000 0.500 0.874
Ir2 0.500 0.000 0.126
Ir3 0.500 0.500 0.500
# * crystal system: tetragonal



8.
# PmCuSi2Ir (PBE, relaxed)
data_PmCuSi2Ir
_chemical_formula_sum 'Pm1 Cu1 Si2 Ir1'
_symmetry_space_group_name_H-M 'P 1'
_symmetry_Int_Tables_number 1
_symmetry_space_group_name_Hall 'P 1'
_cell_length_a 5.802
_cell_length_b 5.802
_cell_length_c 5.802
_cell_angle_alpha 138.67
_cell_angle_beta 138.67
_cell_angle_gamma 59.87
loop_
_atom_site_label
_atom_site_fract_x
_atom_site_fract_y
_atom_site_fract_z
Pm1 0.000 0.000 0.000
Cu1 0.250 0.750 0.500
Si1 0.379 0.379 0.000
Si2 0.621 0.621 0.000
Ir1 0.750 0.250 0.500
# * crystal system: tetragonal



9.
# Pm2CuSn4Ir3 (PBE, relaxed)
data_Pm2CuSn4Ir3
_chemical_formula_sum 'Pm2 Cu1 Sn4 Ir3'
_symmetry_space_group_name_H-M 'P 1'
_symmetry_Int_Tables_number 1
_symmetry_space_group_name_Hall 'P 1'
_cell_length_a 4.487
_cell_length_b 4.487
_cell_length_c 10.882
_cell_angle_alpha 90.00
_cell_angle_beta 90.00
_cell_angle_gamma 90.00
loop_
_atom_site_label
_atom_site_fract_x
_atom_site_fract_y
_atom_site_fract_z
Pm1 0.000 0.500 0.249
Pm2 0.500 0.000 0.751
Cu1 0.000 0.000 0.500
Sn1 0.000 0.000 0.000
Sn2 0.000 0.500 0.629
Sn3 0.500 0.000 0.371
Sn4 0.500 0.500 0.000
Ir1 0.000 0.500 0.867
Ir2 0.500 0.000 0.133
Ir3 0.500 0.500 0.500
# * formation enthalpy at 0 K: -0.50 eV per atom
# * crystal system: tetragonal



10.
# Pm2Cu3Sn4Ir (PBE, relaxed)
data_Pm2Cu3Sn4Ir
_chemical_formula_sum 'Pm2 Cu3 Sn4 Ir1'
_symmetry_space_group_name_H-M 'P 1'
_symmetry_Int_Tables_number 1
_symmetry_space_group_name_Hall 'P 1'
_cell_length_a 4.463
_cell_length_b 4.463
_cell_length_c 10.769
_cell_angle_alpha 90.00
_cell_angle_beta 90.00
_cell_angle_gamma 90.00
loop_
_atom_site_label
_atom_site_fract_x
_atom_site_fract_y
_atom_site_fract_z
Pm1 0.000 0.500 0.237
Pm2 0.500 0.000 0.763
Cu1 0.000 0.000 0.000
Cu2 0.000 0.500 0.635
Cu3 0.500 0.000 0.365
Sn1 0.000 0.000 0.500
Sn2 0.000 0.500 0.869
Sn3 0.500 0.000 0.131
Sn4 0.500 0.500 0.500
Ir1 0.500 0.500 0.000
# * formation enthalpy at 0 K: -0.41 eV per atom
# * crystal system: tetragonal



11.
# PmCuSnIr (PBE, relaxed)
data_PmCuSnIr
_chemical_formula_sum 'Pm1 Cu1 Sn1 Ir1'
_symmetry_space_group_name_H-M 'P 1'
_symmetry_Int_Tables_number 1
_symmetry_space_group_name_Hall 'P 1'
_cell_length_a 4.802
_cell_length_b 4.802
_cell_length_c 4.802
_cell_angle_alpha 60.00
_cell_angle_beta 60.00
_cell_angle_gamma 60.00
loop_
_atom_site_label
_atom_site_fract_x
_atom_site_fract_y
_atom_site_fract_z
Pm1 0.000 0.000 0.000
Cu1 0.750 0.750 0.750
Sn1 0.500 0.500 0.500
Ir1 0.250 0.250 0.250
# * formation enthalpy at 0 K: -0.36 eV per atom
# * crystal system: cubic



12.
# TbPmCuIr (PBE, relaxed)
data_TbPmCuIr
_chemical_formula_sum 'Tb1 Pm1 Cu1 Ir1'
_symmetry_space_group_name_H-M 'P 1'
_symmetry_Int_Tables_number 1
_symmetry_space_group_name_Hall 'P 1'
_cell_length_a 4.361
_cell_length_b 5.630
_cell_length_c 5.630
_cell_angle_alpha 40.57
_cell_angle_beta 90.00
_cell_angle_gamma 90.00
loop_
_atom_site_label
_atom_site_fract_x
_atom_site_fract_y
_atom_site_fract_z
Tb1 0.000 0.000 0.000
Pm1 0.500 0.278 0.278
Cu1 0.000 0.709 0.709
Ir1 0.500 0.558 0.558
# * energy above the lowest structure with this stoichiometry: 0.000 eV/atom
# * formation enthalpy at 0 K: -0.53 eV per atom
# * crystal system: orthorhombic



Result set for energy: -65.83, -24.17, -24.32, -24.12, -23.19, -26.02, -70.82, -32.38, -61.17, -50.78, -23.17, -24.46 eV for the cell shown, one per record in the order listed.
Result set for magnetization: 0.0, 0.0, 0.0, 0.0, 0.0, 0.0, 0.0, 0.0, 0.0, 0.0, 0.0, 0.0 μB/f.u., one per record in the order listed.